Record 1
# CdRePb PBE-GGA relaxed
data_CdRePb
_chemical_formula_sum 'Cd1 Re1 Pb1'
_cell_length_a 4.644
_cell_length_b 4.644
_cell_length_c 4.644
_cell_angle_alpha 60.00
_cell_angle_beta 60.00
_cell_angle_gamma 60.00
_symmetry_space_group_name_H-M 'P 1'
_symmetry_Int_Tables_number 1
_symmetry_space_group_name_Hall 'P 1'
loop_
_atom_site_label
_atom_site_fract_x
_atom_site_fract_y
_atom_site_fract_z
Cd1 0.250 0.250 0.250
Pb1 0.750 0.750 0.750
Re1 0.000 0.000 0.000
# ΔE to the lowest computed polymorph: 0.000 eV/f.u.
# magnetization: 1.096 μB per formula unit
# space group: F-43m (216)

Record 2
# ZnCdPbS3 PBE-GGA relaxed
data_ZnCdPbS3
_chemical_formula_sum 'Zn2 Cd2 Pb2 S6'
_cell_length_a 7.062
_cell_length_b 7.062
_cell_length_c 10.992
_cell_angle_alpha 90.00
_cell_angle_beta 90.00
_cell_angle_gamma 31.04
_symmetry_space_group_name_H-M 'P 1'
_symmetry_Int_Tables_number 1
_symmetry_space_group_name_Hall 'P 1'
loop_
_atom_site_label
_atom_site_fract_x
_atom_site_fract_y
_atom_site_fract_z
Cd1 0.500 0.500 0.250
Cd2 0.500 0.500 0.750
Pb1 0.779 0.779 0.250
Pb2 0.221 0.221 0.750
S1 0.389 0.389 0.066
S2 0.123 0.123 0.250
S3 0.389 0.389 0.434
S4 0.611 0.611 0.566
S5 0.877 0.877 0.750
S6 0.611 0.611 0.934
Zn1 0.000 0.000 0.000
Zn2 0.000 0.000 0.500
# ΔE to the lowest computed polymorph: 0.773 eV/f.u.
# space group: Cmcm (63)

Record 3
# ZnCdPbS3 PBE-GGA relaxed
data_ZnCdPbS3
_chemical_formula_sum 'Zn2 Cd2 Pb2 S6'
_cell_length_a 6.873
_cell_length_b 6.873
_cell_length_c 10.350
_cell_angle_alpha 90.00
_cell_angle_beta 90.00
_cell_angle_gamma 32.88
_symmetry_space_group_name_H-M 'P 1'
_symmetry_Int_Tables_number 1
_symmetry_space_group_name_Hall 'P 1'
loop_
_atom_site_label
_atom_site_fract_x
_atom_site_fract_y
_atom_site_fract_z
Cd1 0.000 0.000 0.000
Cd2 0.000 0.000 0.500
Pb1 0.758 0.758 0.250
Pb2 0.242 0.242 0.750
S1 0.365 0.365 0.071
S2 0.080 0.080 0.250
S3 0.365 0.365 0.429
S4 0.635 0.635 0.571
S5 0.920 0.920 0.750
S6 0.635 0.635 0.929
Zn1 0.473 0.473 0.250
Zn2 0.527 0.527 0.750
# ΔE to the lowest computed polymorph: 0.000 eV/f.u.
# space group: Cmcm (63)

Record 4
# CdSb2Pb PBE-GGA relaxed
data_CdSb2Pb
_chemical_formula_sum 'Cd1 Sb2 Pb1'
_cell_length_a 5.397
_cell_length_b 5.397
_cell_length_c 5.397
_cell_angle_alpha 60.00
_cell_angle_beta 60.00
_cell_angle_gamma 60.00
_symmetry_space_group_name_H-M 'P 1'
_symmetry_Int_Tables_number 1
_symmetry_space_group_name_Hall 'P 1'
loop_
_atom_site_label
_atom_site_fract_x
_atom_site_fract_y
_atom_site_fract_z
Cd1 0.500 0.500 0.500
Pb1 0.750 0.750 0.750
Sb1 0.000 0.000 0.000
Sb2 0.250 0.250 0.250
# raw total energy: -3.0657 eV/atom
# space group: F-43m (216)